The following is a DFT calculation (PBE) of a geometry-optimized GdZrSb structure.

a = 4.3019 Å, b = 4.3019 Å, c = 8.9322 Å
α = 103.96°, β = 103.96°, γ = 90.00°
Site moments in Bohr magnetons follow the coordinates.
Fractional positions:
1 Sb 0.8696 0.8696 0.7393  0.03
2 Gd 0.3228 0.3228 0.6458  -7.18
3 Zr 0.0000 0.5000 0.0000  -0.01
4 Zr 0.5000 0.0000 0.0000  -0.01
5 Sb 0.1304 0.1304 0.2607  0.03
6 Gd 0.6772 0.6772 0.3542  -7.18

**Crystal system**: tetragonal
**Formation energy without anion corrections**: -0.8186 eV per atom
**Symmetry**: I4/mmm (139)

=====

The following is a DFT calculation (PBE) of a geometry-optimized GdZrSb structure.

a = 3.8062 Å, b = 4.9676 Å, c = 4.9676 Å
α = 120.00°, β = 90.00°, γ = 90.00°
Site moments in Bohr magnetons follow the coordinates.
Fractional positions:
1 Zr 0.1673 0.0000 0.0000  0.25
2 Sb 0.1657 0.3333 0.6667  -0.02
3 Gd 0.6670 0.6667 0.3333  7.05

**Crystal system**: trigonal
**Formation energy without anion corrections**: -0.2909 eV per atom
**Symmetry**: P3m1 (156)

=====

The following is a DFT calculation (PBE) of a geometry-optimized GdSc3 structure.

a = 3.4029 Å, b = 5.8597 Å, c = 6.2804 Å
α = 117.81°, β = 105.72°, γ = 90.00°
Site moments in Bohr magnetons follow the coordinates.
Fractional positions:
1 Sc 0.7567 0.0936 0.5134  -0.06
2 Sc 0.5000 0.5005 0.0000  -0.07
3 Sc 0.2433 0.5801 0.4866  -0.06
4 Gd 0.0000 0.9925 0.0000  7.23

**Crystal system**: orthorhombic
**Symmetry**: Imm2 (44)
**Formation energy**: 0.026 eV per atom
**Energy above the lowest structure with this stoichiometry**: 0 meV/atom

=====

The following is a DFT calculation (PBE) of a geometry-optimized GdSc5 structure.

a = 3.5543 Å, b = 5.2973 Å, c = 8.6409 Å
α = 107.85°, β = 90.00°, γ = 90.00°
Site moments in Bohr magnetons follow the coordinates.
Fractional positions:
1 Gd 0.0000 0.0000 0.0000  7.24
2 Sc 0.0000 0.3451 0.6902  0.03
3 Sc 0.0000 0.6549 0.3098  0.03
4 Sc 0.5000 0.5000 0.0000  -0.02
5 Sc 0.5000 0.8163 0.6325  0.12
6 Sc 0.5000 0.1837 0.3675  0.12

**Crystal system**: orthorhombic
**Symmetry**: Cmmm (65)
**Formation energy**: 0.089 eV per atom

=====

The following is a DFT calculation (PBE) of a geometry-optimized GdSc3 structure.

a = 4.7460 Å, b = 4.7460 Å, c = 5.7358 Å
α = 114.44°, β = 114.44°, γ = 90.00°
Site moments in Bohr magnetons follow the coordinates.
Fractional positions:
1 Sc 0.2500 0.7500 0.5000  -0.03
2 Sc 0.7500 0.2500 0.5000  -0.03
3 Sc 0.5000 0.5000 0.0000  -0.10
4 Gd 0.0000 0.0000 0.0000  7.20

**Crystal system**: tetragonal
**Symmetry**: I4/mmm (139)
**Formation energy**: 0.056 eV per atom
**Energy above the lowest structure with this stoichiometry**: 30 meV/atom

=====

The following is a DFT calculation (PBE) of a geometry-optimized GdSc3 structure.

a = 3.3900 Å, b = 5.3098 Å, c = 5.8641 Å
α = 90.00°, β = 90.00°, γ = 90.00°
Site moments in Bohr magnetons follow the coordinates.
Fractional positions:
1 Sc 0.0000 0.0000 0.9951  0.07
2 Sc 0.5000 0.5000 0.8306  0.09
3 Sc 0.5000 0.0000 0.5059  0.04
4 Gd 0.0000 0.5000 0.3351  7.20

**Crystal system**: orthorhombic
**Symmetry**: Pmm2 (25)
**Formation energy**: 0.035 eV per atom
**Energy above the lowest structure with this stoichiometry**: 9 meV/atom

=====

The following is a DFT calculation (PBE) of a geometry-optimized GdSc structure.

a = 3.4369 Å, b = 4.7849 Å, c = 7.6653 Å
α = 90.00°, β = 63.30°, γ = 90.00°
Site moments in Bohr magnetons follow the coordinates.
Fractional positions:
1 Sc 0.6352 0.7500 0.6150  0.12
2 Sc 0.3648 0.2500 0.3850  0.12
3 Gd 0.8829 0.2500 0.8674  -7.18
4 Gd 0.1171 0.7500 0.1326  -7.18

**Crystal system**: monoclinic
**Symmetry**: P2_1/m (11)
**Formation energy**: 0.068 eV per atom
**Energy above the lowest structure with this stoichiometry**: 0 meV/atom

=====

The following is a DFT calculation (PBE) of a geometry-optimized GdSc structure.

a = 3.8349 Å, b = 3.8349 Å, c = 3.8349 Å
α = 90.00°, β = 90.00°, γ = 90.00°
Site moments in Bohr magnetons follow the coordinates.
Fractional positions:
1 Sc 0.5000 0.5000 0.5000  0.05
2 Gd 0.0000 0.0000 0.0000  -7.07

**Crystal system**: cubic
**Symmetry**: Pm-3m (221)
**Formation energy**: 0.078 eV per atom
**Energy above the lowest structure with this stoichiometry**: 10 meV/atom

=====

The following is a DFT calculation (PBE) of a geometry-optimized GdSc3 structure.

a = 4.7108 Å, b = 4.7108 Å, c = 4.7108 Å
α = 90.00°, β = 90.00°, γ = 90.00°
Site moments in Bohr magnetons follow the coordinates.
Fractional positions:
1 Sc 0.5000 0.0000 0.5000  -0.11
2 Sc 0.5000 0.5000 0.0000  -0.11
3 Sc 0.0000 0.5000 0.5000  -0.11
4 Gd 0.0000 0.0000 0.0000  7.12

**Crystal system**: cubic
**Symmetry**: Pm-3m (221)
**Formation energy**: 0.059 eV per atom
**Energy above the lowest structure with this stoichiometry**: 33 meV/atom

=====

The following is a DFT calculation (PBE) of a geometry-optimized GdSc3 structure.

a = 5.2930 Å, b = 5.2930 Å, c = 5.2930 Å
α = 60.00°, β = 60.00°, γ = 60.00°
Site moments in Bohr magnetons follow the coordinates.
Fractional positions:
1 Sc 0.2500 0.2500 0.2500  -0.04
2 Sc 0.7500 0.7500 0.7500  -0.04
3 Gd 0.5000 0.5000 0.5000  7.12
4 Sc 0.0000 0.0000 0.0000  -0.10

**Crystal system**: cubic
**Symmetry**: Fm-3m (225)
**Formation energy**: 0.102 eV per atom
**Energy above the lowest structure with this stoichiometry**: 76 meV/atom

=====

The following is a DFT calculation (PBE) of a geometry-optimized GdScSe2 structure.

a = 4.0034 Å, b = 4.0034 Å, c = 6.9270 Å
α = 73.20°, β = 73.20°, γ = 60.00°
Site moments in Bohr magnetons follow the coordinates.
Fractional positions:
1 Gd 0.5000 0.5000 0.5000  6.90
2 Sc 0.0000 0.0000 0.0000  -0.12
3 Se 0.2563 0.2563 0.2310  -0.01
4 Se 0.7437 0.7437 0.7690  -0.01

**Crystal system**: trigonal
**Formation energy without anion corrections**: -1.7195 eV per atom
**Symmetry**: R-3m (166)

=====

The following is a DFT calculation (PBE) of a geometry-optimized Gd3Sc5Se12 structure.

a = 14.1562 Å, b = 14.1562 Å, c = 14.1562 Å
α = 109.47°, β = 109.47°, γ = 109.47°
Site moments in Bohr magnetons follow the coordinates.
Fractional positions:
1 Se 0.3738 0.9595 0.7837  -0.01
2 Se 0.2163 0.5405 0.6262  -0.01
3 Sc 0.2500 0.3750 0.6250  0.01
4 Se 0.7837 0.4595 0.3738  -0.01
5 Se 0.9143 0.0901 0.8738  -0.01
6 Gd 0.2500 0.1250 0.3750  6.91
7 Se 0.0901 0.1758 0.2163  -0.01
8 Sc 0.0000 0.5000 0.5000  0.00
9 Gd 0.6250 0.3750 0.7500  6.91
10 Se 0.7163 0.5901 0.1758  -0.01
11 Se 0.0857 0.1758 0.4595  -0.01
12 Se 0.8242 0.9143 0.0405  -0.01
13 Sc 0.5000 0.5000 0.5000  0.00
14 Se 0.4143 0.3738 0.5901  -0.01
15 Se 0.1262 0.4099 0.0857  -0.01
16 Sc 0.8750 0.2500 0.6250  0.01
17 Se 0.1758 0.0857 0.9595  -0.01
18 Gd 0.8750 0.7500 0.1250  6.91
19 Se 0.6262 0.0405 0.2163  -0.01
20 Se 0.4143 0.0405 0.3242  -0.01
21 Gd 0.8750 0.1250 0.2500  6.91
22 Sc 0.8750 0.6250 0.7500  0.01
23 Se 0.9595 0.5857 0.1758  -0.01
24 Se 0.3242 0.5405 0.4143  -0.01
25 Se 0.6758 0.2163 0.5901  -0.01
26 Gd 0.6250 0.2500 0.3750  6.91
27 Se 0.1758 0.0901 0.7163  -0.01
28 Se 0.5857 0.9595 0.6758  -0.01
29 Se 0.4099 0.1262 0.5857  -0.01
30 Se 0.0901 0.9143 0.3738  -0.01
31 Sc 0.2500 0.8750 0.1250  0.01
32 Gd 0.7500 0.3750 0.1250  6.91
33 Sc 0.6250 0.8750 0.2500  0.01
34 Se 0.0857 0.9099 0.1262  -0.01
35 Se 0.9099 0.0857 0.6262  -0.01
36 Se 0.8738 0.2837 0.4595  -0.01
37 Se 0.2163 0.6758 0.0901  -0.01
38 Sc 0.7500 0.6250 0.3750  0.01
39 Gd 0.1250 0.2500 0.8750  6.91
40 Se 0.3738 0.4143 0.0901  -0.01
41 Se 0.2837 0.4099 0.8242  -0.01
42 Sc 0.3750 0.2500 0.1250  0.01
43 Se 0.3242 0.7837 0.4099  -0.01
44 Se 0.4595 0.7837 0.8738  -0.01
45 Sc 0.5000 0.0000 0.0000  0.00
46 Se 0.5901 0.8738 0.4143  -0.01
47 Gd 0.3750 0.7500 0.6250  6.91
48 Se 0.7163 0.1262 0.0405  -0.01
49 Sc 0.0000 0.5000 0.0000  0.00
50 Gd 0.7500 0.8750 0.6250  6.91
51 Sc 0.0000 0.0000 0.5000  0.00
52 Se 0.7837 0.3242 0.9099  -0.01
53 Se 0.2837 0.8738 0.9595  -0.01
54 Se 0.5405 0.2163 0.1262  -0.01
55 Se 0.5857 0.6262 0.4099  -0.01
56 Se 0.4595 0.6758 0.0857  -0.01
57 Sc 0.3750 0.1250 0.7500  0.01
58 Se 0.8242 0.9099 0.2837  -0.01
59 Gd 0.3750 0.6250 0.2500  6.91
60 Se 0.5901 0.7163 0.6758  -0.01
61 Gd 0.2500 0.6250 0.8750  6.91
62 Se 0.4099 0.2837 0.3242  -0.01
63 Sc 0.1250 0.7500 0.3750  0.01
64 Se 0.0405 0.4143 0.8242  -0.01
65 Se 0.6262 0.5857 0.9099  -0.01
66 Sc 0.7500 0.1250 0.8750  0.01
67 Sc 0.1250 0.3750 0.2500  0.01
68 Se 0.9099 0.8242 0.7837  -0.01
69 Se 0.1262 0.7163 0.5405  -0.01
70 Se 0.9143 0.8242 0.5405  -0.01
71 Sc 0.5000 0.0000 0.5000  0.00
72 Gd 0.1250 0.8750 0.7500  6.91
73 Se 0.0405 0.6262 0.7163  -0.01
74 Sc 0.0000 0.0000 0.0000  0.00
75 Se 0.9595 0.3738 0.2837  -0.01
76 Sc 0.5000 0.5000 0.0000  0.00
77 Se 0.8738 0.5901 0.9143  -0.01
78 Se 0.5405 0.3242 0.9143  -0.01
79 Sc 0.6250 0.7500 0.8750  0.01
80 Se 0.6758 0.4595 0.5857  -0.01

**Crystal system**: cubic
**Formation energy without anion corrections**: -1.6333 eV per atom
**Symmetry**: Ia-3d (230)

=====

The following is a DFT calculation (PBE) of a geometry-optimized GdScSi structure.

a = 4.7240 Å, b = 4.7240 Å, c = 4.7240 Å
α = 60.00°, β = 60.00°, γ = 60.00°
Site moments in Bohr magnetons follow the coordinates.
Fractional positions:
1 Si 0.2500 0.2500 0.2500  -0.04
2 Sc 0.0000 0.0000 0.0000  0.23
3 Gd 0.5000 0.5000 0.5000  7.17

**Crystal system**: cubic
**Formation energy without anion corrections**: -0.4683 eV per atom
**Symmetry**: F-43m (216)

=====

| no. | magnetic moment (μB per cell) |
| --- | --- |
| 1 | 14.96 |
| 2 | 7.63 |
| 3 | 7.18 |
| 4 | 8.08 |
| 5 | 7.16 |
| 6 | 7.84 |
| 7 | 14.42 |
| 8 | 7.13 |
| 9 | 6.75 |
| 10 | 7.00 |
| 11 | 6.80 |
| 12 | 83.46 |
| 13 | 7.67 |